Material: Ba2FeNi
Method: DFT, PBE-GGA
State: optimized geometry

**Mass density**: 6.16 Mg/m³
**Energy of formation**: 0.78 eV/atom
**Crystal system**: cubic
**Fermi-level density of states**: 1.56 states/eV/atom

a b c (Å): 5.294 5.294 5.294
angles (deg): 60.00 60.00 60.00
Fractional coordinates of all 4 atoms:
Ba (0.250, 0.250, 0.250)
Ba (0.000, 0.000, 0.000)
Fe (0.500, 0.500, 0.500)
Ni (0.750, 0.750, 0.750)

=====

Material: BaFe2Ni
Method: DFT, PBE-GGA
State: optimized geometry

**Mass density**: 6.80 Mg/m³
**Energy of formation**: 0.51 eV/atom
**Crystal system**: tetragonal
**Fermi-level density of states**: 1.03 states/eV/atom

a b c (Å): 3.199 3.197 7.345
angles (deg): 90.00 90.00 90.00
Fractional coordinates of all 4 atoms:
Ba (0.500, 0.500, 0.741)
Fe (0.000, 0.000, 0.095)
Fe (0.500, 0.500, 0.254)
Ni (0.000, 0.000, 0.411)

=====

Material: Ba2FeNi
Method: DFT, PBE-GGA
State: optimized geometry

**Mass density**: 5.62 Mg/m³
**Energy of formation**: 0.60 eV/atom
**Crystal system**: monoclinic
**Fermi-level density of states**: 1.43 states/eV/atom

a b c (Å): 5.493 5.493 3.809
angles (deg): 89.79 89.79 90.01
Fractional coordinates of all 4 atoms:
Fe (0.500, 0.000, 0.500)
Ba (0.500, 0.500, 0.000)
Ni (0.000, 0.500, 0.500)
Ba (0.000, 0.000, 0.000)

=====

Material: BaFe2Ni
Method: DFT, PBE-GGA
State: optimized geometry

**Mass density**: 6.96 Mg/m³
**Energy of formation**: 0.99 eV/atom
**Crystal system**: monoclinic
**Fermi-level density of states**: 1.22 states/eV/atom

a b c (Å): 4.609 5.724 3.177
angles (deg): 74.63 88.23 113.20
Fractional coordinates of all 4 atoms:
Fe (0.500, 0.000, 0.500)
Ni (0.000, 0.500, 0.500)
Ba (0.500, 0.500, 0.000)
Fe (0.000, 0.000, 0.000)

=====

Material: BaFe2Ni
Method: DFT, PBE-GGA
State: optimized geometry

**Mass density**: 6.12 Mg/m³
**Energy of formation**: 0.52 eV/atom
**Crystal system**: orthorhombic
**Fermi-level density of states**: 1.32 states/eV/atom

a b c (Å): 3.758 3.396 6.759
angles (deg): 75.46 90.00 90.00
Fractional coordinates of all 4 atoms:
Ba (0.500, 0.706, 0.714)
Ni (0.000, 0.351, 0.422)
Fe (0.500, 0.461, 0.203)
Fe (0.000, 0.982, 0.161)

=====

Material: BaFe2Ni
Method: DFT, PBE-GGA
State: optimized geometry

**Mass density**: 7.03 Mg/m³
**Energy of formation**: 0.95 eV/atom
**Crystal system**: orthorhombic
**Fermi-level density of states**: 1.30 states/eV/atom

a b c (Å): 3.540 4.342 4.730
angles (deg): 90.00 90.00 90.00
Fractional coordinates of all 4 atoms:
Ni (0.500, 0.000, 0.500)
Fe (0.500, 0.500, 0.000)
Ba (0.000, 0.500, 0.500)
Fe (0.000, 0.000, 0.000)

=====

Material: BaFe2Ni
Method: DFT, PBE-GGA
State: optimized geometry

**Mass density**: 7.01 Mg/m³
**Energy of formation**: 0.95 eV/atom
**Crystal system**: cubic
**Fermi-level density of states**: 1.06 states/eV/atom

a b c (Å): 4.689 4.689 4.689
angles (deg): 60.00 60.00 60.00
Fractional coordinates of all 4 atoms:
Ba (0.500, 0.500, 0.500)
Fe (0.250, 0.250, 0.250)
Fe (0.000, 0.000, 0.000)
Ni (0.750, 0.750, 0.750)

=====

Material: BaFe2Ni
Method: DFT, PBE-GGA
State: optimized geometry

**Mass density**: 6.76 Mg/m³
**Energy of formation**: 0.56 eV/atom
**Crystal system**: tetragonal
**Fermi-level density of states**: 1.15 states/eV/atom

a b c (Å): 3.223 3.223 7.276
angles (deg): 90.00 90.00 90.00
Fractional coordinates of all 4 atoms:
Fe (0.000, 0.000, 0.099)
Ba (0.500, 0.500, 0.750)
Ni (0.500, 0.500, 0.250)
Fe (0.000, 0.000, 0.401)

=====

Number 3 is which compound? Ba2FeNi